Crystalline LiAc2Cd6In at its relaxed geometry. Source: the Alexandria database, functional GGA-PBE.

Properties
Final energy: -1.90 eV/atom
Size of the total moment: 0.00 μB/f.u.
ΔE_f: -0.063 eV per atom

Unit cell a=7.341 b=7.341 c=7.322 alpha=119.86 beta=119.86 gamma=90.03
Atoms (fractional coordinates):
Li (0.000, 0.000, 0.000)
Ac (0.250, 0.750, 0.500)
Ac (0.750, 0.250, 0.500)
Cd (0.232, 0.232, 0.000)
Cd (0.232, 0.232, 0.465)
Cd (0.232, 0.768, 0.000)
Cd (0.768, 0.232, 0.000)
Cd (0.768, 0.768, 0.000)
Cd (0.768, 0.768, 0.535)
In (0.500, 0.500, 0.000)